# TlCd3Hg4 GGA-PBE optimized geometry
# distance to the lowest polymorph of the same formula = 0.000 eV/atom
# formation enthalpy at 0 K = 21.1 kJ/mol of formula units
# E = -0.0280 hartree per atom
# M_tot = 0.0 μB/cell
data_TlCd3Hg4
_cell_length_a 10.3777
_cell_length_b 6.3336
_cell_length_c 6.2743
_cell_angle_alpha 90.00
_cell_angle_beta 90.00
_cell_angle_gamma 90.00
_space_group_name_H-M_alt 'P m n 21'
_space_group_IT_number 31
loop_
_space_group_symop_operation_xyz
'x,y,z'
'-x+1/2,-y,z+1/2'
'-x,y,z'
'x+1/2,-y,z+1/2'
loop_
_atom_site_label
_atom_site_type_symbol
_atom_site_fract_x
_atom_site_fract_y
_atom_site_fract_z
Tl1 Tl 0.0000 0.0029 0.0000
Cd1 Cd 0.0000 0.4949 0.4962
Cd2 Cd 0.2491 0.7447 0.2496
Hg1 Hg 0.0000 0.5023 0.9961
Hg2 Hg 0.0000 0.9950 0.5002
Hg3 Hg 0.2501 0.2552 0.2499